First-principles (GGA-PBEsol) data for a relaxed structure of BaSiNi2, as listed in the Alexandria database.

The total magnetization comes out at 0.000 Bohr magnetons per cell. The calculation puts the density at 6.8 g/cm3. The energy is -19.95 eV per cell. As for the raw formation energy: 0.064 eV/atom.

The space group is Pmm2 (No. 25) and the conventional cell measures 3.034, 3.296 and 6.916 Å, with angles of 90.00, 90.00 and 90.00 degrees. The inequivalent atoms are Ba at (0.000, 0.000, 0.000), Si at (0.500, 0.500, 0.636), Ni at (0.000, 0.000, 0.497) and Ni at (0.500, 0.500, 0.318).

---

First-principles (GGA-PBEsol) data for a relaxed structure of CoOsAu, as listed in the Alexandria database.

The total magnetization comes out at 11.413 Bohr magnetons per cell. The value obtained for the energy of formation from the pure elements is 1.18 eV/atom. The excess energy over the best structure of this formula in the dataset is 539 meV/atom. The calculation puts the density at 14.6 g/cm3. The energy is -81.40 eV per cell.

The space group is F-43m (No. 216) and the conventional cell measures 5.872, 5.872 and 5.872 Å, with angles of 90.00, 90.00 and 90.00 degrees. The inequivalent atoms are Co at (0.000, 0.000, 0.000), Os at (0.250, 0.250, 0.750) and Au at (0.000, 0.000, 0.500).

---

First-principles (GGA-PBEsol) data for a relaxed structure of SrAlO2, as listed in the Alexandria database.

The total magnetization comes out at 0.045 Bohr magnetons per cell. The calculation puts the density at 4.5 g/cm3. The energy is -73.87 eV per cell. As for the raw formation energy: -2.049 eV/atom.

The space group is R-3m (No. 166, hexagonal axes) and the conventional cell measures 3.0608, 3.0608 and 19.7921 Å, with angles of 90.00, 90.00 and 120.00 degrees. The inequivalent atoms are Sr at (0.0000, 0.0000, 0.0000), Al at (0.0000, 0.0000, 0.5000) and O at (0.0000, 0.0000, 0.1192).

---

First-principles (GGA-PBEsol) data for a relaxed structure of Hf2TiSb, as listed in the Alexandria database.

The total magnetization comes out at 0.002 Bohr magnetons per cell. The calculation puts the density at 10.2 g/cm3. The energy is -131.18 eV per cell. As for the raw formation energy: 0.272 eV/atom.

The space group is I-42d (No. 122) and the conventional cell measures 7.779, 7.779 and 5.683 Å, with angles of 90.00, 90.00 and 90.00 degrees. The inequivalent atoms are Hf at (0.248, 0.750, 0.125), Ti at (0.000, 0.000, 0.500) and Sb at (0.000, 0.000, 0.000).

---

First-principles (GGA-PBEsol) data for a relaxed structure of TaTiNiN2, as listed in the Alexandria database.

The total magnetization comes out at 0.570 Bohr magnetons per cell. The calculation puts the density at 6.3 g/cm3. The energy is -39.06 eV per cell. As for the raw formation energy: 1.004 eV/atom.

The space group is P4/mmm (No. 123) and the conventional cell measures 3.900, 3.900 and 5.483 Å, with angles of 90.00, 90.00 and 90.00 degrees. The inequivalent atoms are Ta at (0.000, 0.000, 0.000), Ti at (0.000, 0.000, 0.500), Ni at (0.500, 0.500, 0.500) and N at (0.000, 0.500, 0.000).

---

First-principles (GGA-PBEsol) data for a relaxed structure of KPbSeN2, as listed in the Alexandria database.

The total magnetization comes out at 3.274 Bohr magnetons per cell. The calculation puts the density at 5.1 g/cm3. The energy is -20.82 eV per cell. As for the raw formation energy: 1.044 eV/atom.

The space group is P4/mmm (No. 123) and the conventional cell measures 4.573, 4.573 and 5.521 Å, with angles of 90.00, 90.00 and 90.00 degrees. The inequivalent atoms are K at (0.000, 0.000, 0.000), Pb at (0.500, 0.500, 0.500), Se at (0.500, 0.500, 0.000) and N at (0.000, 0.500, 0.500).